Y2MgGaH | PBE-GGA | optimized geometry

POSCAR file:
```
Y2MgGaH
1.0
4.776 0.000 0.000
0.000 4.776 0.000
0.000 0.000 4.288
Mg H Y Ga
1 1 2 1
Cartesian
0.000 0.000 2.144
0.000 0.000 0.000
0.000 2.388 0.000
2.388 0.000 0.000
2.388 2.388 2.144
```

Calculated values
SG = P4/mmm, No. 123
Total energy = -4.53 eV/atom
Total magnetization = 0.00 μB/cell